1.
First-principles (PBE) data for crystalline Ba2Na3Sr2 at its relaxed geometry, as listed in Alexandria.

Cell: 9.777 9.777 9.777 Å, 109.47 109.47 109.47°
Fractional coordinates of all 14 atoms:
Ba 0.000 0.356 0.500
Ba 0.144 0.144 0.144
Ba 0.356 0.500 0.000
Ba 0.500 0.000 0.356
Na 0.112 0.750 0.862
Na 0.250 0.638 0.388
Na 0.388 0.250 0.638
Na 0.638 0.388 0.250
Na 0.750 0.862 0.112
Na 0.862 0.112 0.750
Sr 0.000 0.867 0.500
Sr 0.500 0.000 0.867
Sr 0.633 0.633 0.633
Sr 0.867 0.500 0.000

Results
Energy above the most stable polymorph in this dataset ... 45.6 meV/atom

***

2.
First-principles (PBE) data for crystalline BaNaSr5 at its relaxed geometry, as listed in Alexandria.

Cell: 8.320 8.320 13.972 Å, 110.11 110.11 74.18°
Fractional coordinates of all 14 atoms:
Ba 0.073 0.927 0.750
Ba 0.927 0.073 0.250
Na 0.000 0.500 0.000
Na 0.500 0.000 0.500
Sr 0.155 0.397 0.745
Sr 0.253 0.519 0.504
Sr 0.348 0.652 0.250
Sr 0.397 0.155 0.245
Sr 0.481 0.747 0.996
Sr 0.519 0.253 0.004
Sr 0.603 0.845 0.755
Sr 0.652 0.348 0.750
Sr 0.747 0.481 0.496
Sr 0.845 0.603 0.255

Results
Energy above the most stable polymorph in this dataset ... 68.7 meV/atom

***

3.
First-principles (PBE) data for crystalline Ba3Na2Sr6 at its relaxed geometry, as listed in Alexandria.

Cell: 18.890 18.890 18.890 Å, 162.26 162.26 25.19°
Fractional coordinates of all 11 atoms:
Ba 0.000 0.000 0.000
Ba 0.201 0.201 0.000
Ba 0.799 0.799 0.000
Na 0.459 0.459 0.000
Na 0.541 0.541 0.000
Sr 0.106 0.606 0.500
Sr 0.314 0.314 0.000
Sr 0.394 0.894 0.500
Sr 0.606 0.106 0.500
Sr 0.686 0.686 0.000
Sr 0.894 0.394 0.500

***

4.
First-principles (PBE) data for crystalline Ba2Na3Sr at its relaxed geometry, as listed in Alexandria.

Cell: 4.655 4.655 13.752 Å, 90.00 90.00 90.00°
Fractional coordinates of all 6 atoms:
Ba 0.000 0.000 0.170
Ba 0.000 0.000 0.830
Na 0.500 0.500 0.000
Na 0.500 0.500 0.344
Na 0.500 0.500 0.656
Sr 0.000 0.000 0.500

Results
Energy above the most stable polymorph in this dataset ... 0.0 meV/atom

***

5.
First-principles (PBE) data for crystalline Ba4NaSr5 at its relaxed geometry, as listed in Alexandria.

Cell: 9.827 9.827 9.827 Å, 97.26 97.26 138.34°
Fractional coordinates of all 10 atoms:
Ba 0.000 0.317 0.317
Ba 0.000 0.683 0.683
Ba 0.317 0.000 0.317
Ba 0.683 0.000 0.683
Na 0.704 0.704 0.000
Sr 0.169 0.169 0.000
Sr 0.327 0.327 0.643
Sr 0.327 0.684 0.000
Sr 0.684 0.327 0.000
Sr 0.684 0.684 0.357

Results
Energy above the most stable polymorph in this dataset ... 82.4 meV/atom

***

6.
First-principles (PBE) data for crystalline BaNa8Sr3 at its relaxed geometry, as listed in Alexandria.

Cell: 7.181 7.181 11.648 Å, 90.00 90.00 120.00°
Fractional coordinates of all 12 atoms:
Ba 0.000 0.000 0.000
Na 0.163 0.327 0.684
Na 0.163 0.837 0.684
Na 0.333 0.667 0.436
Na 0.333 0.667 0.935
Na 0.504 0.008 0.190
Na 0.504 0.496 0.190
Na 0.673 0.837 0.684
Na 0.992 0.496 0.190
Sr 0.000 0.000 0.377
Sr 0.667 0.333 0.500
Sr 0.667 0.333 0.870

***

7.
First-principles (PBE) data for crystalline BaNa9Sr2 at its relaxed geometry, as listed in Alexandria.

Cell: 11.937 11.937 11.937 Å, 35.31 35.31 35.31°
Fractional coordinates of all 12 atoms:
Ba 0.000 0.000 0.000
Na 0.078 0.588 0.588
Na 0.334 0.334 0.334
Na 0.412 0.412 0.922
Na 0.412 0.922 0.412
Na 0.500 0.500 0.500
Na 0.588 0.078 0.588
Na 0.588 0.588 0.078
Na 0.666 0.666 0.666
Na 0.922 0.412 0.412
Sr 0.142 0.142 0.142
Sr 0.858 0.858 0.858

***

8.
First-principles (PBE) data for crystalline Ba2NaSr8 at its relaxed geometry, as listed in Alexandria.

Cell: 11.343 11.343 9.682 Å, 105.45 105.45 30.51°
Fractional coordinates of all 11 atoms:
Ba 0.132 0.132 0.174
Ba 0.868 0.868 0.826
Na 0.500 0.500 0.000
Sr 0.046 0.046 0.720
Sr 0.225 0.225 0.635
Sr 0.319 0.319 0.094
Sr 0.410 0.410 0.549
Sr 0.590 0.590 0.451
Sr 0.681 0.681 0.906
Sr 0.775 0.775 0.365
Sr 0.954 0.954 0.280

***

9.
First-principles (PBE) data for crystalline Ba3Na2Sr at its relaxed geometry, as listed in Alexandria.

Cell: 4.560 4.560 15.824 Å, 90.00 90.00 90.00°
Fractional coordinates of all 6 atoms:
Ba 0.000 0.000 0.000
Ba 0.000 0.000 0.310
Ba 0.000 0.000 0.690
Na 0.500 0.500 0.157
Na 0.500 0.500 0.843
Sr 0.500 0.500 0.500

***

10.
First-principles (PBE) data for crystalline BaNa9Sr4 at its relaxed geometry, as listed in Alexandria.

Cell: 12.168 12.168 12.168 Å, 118.52 118.52 92.58°
Fractional coordinates of all 28 atoms:
Ba 0.250 0.250 0.000
Ba 0.750 0.750 0.000
Na 0.000 0.500 0.500
Na 0.045 0.803 0.849
Na 0.068 0.568 0.297
Na 0.197 0.045 0.242
Na 0.229 0.932 0.500
Na 0.271 0.771 0.703
Na 0.303 0.545 0.849
Na 0.432 0.729 0.500
Na 0.455 0.303 0.758
Na 0.500 0.000 0.500
Na 0.545 0.697 0.242
Na 0.568 0.271 0.500
Na 0.697 0.455 0.151
Na 0.729 0.229 0.297
Na 0.771 0.068 0.500
Na 0.803 0.955 0.758
Na 0.932 0.432 0.703
Na 0.955 0.197 0.151
Sr 0.062 0.175 0.500
Sr 0.175 0.675 0.113
Sr 0.325 0.438 0.500
Sr 0.438 0.938 0.113
Sr 0.562 0.062 0.887
Sr 0.675 0.562 0.500
Sr 0.825 0.325 0.887
Sr 0.938 0.825 0.500

***

11.
First-principles (PBE) data for crystalline BaNa2Sr3 at its relaxed geometry, as listed in Alexandria.

Cell: 4.442 4.442 15.477 Å, 90.00 90.00 90.00°
Fractional coordinates of all 6 atoms:
Ba 0.000 0.000 0.000
Na 0.000 0.000 0.350
Na 0.000 0.000 0.650
Sr 0.500 0.500 0.201
Sr 0.500 0.500 0.500
Sr 0.500 0.500 0.799

***

12.
First-principles (PBE) data for crystalline BaNaSr at its relaxed geometry, as listed in Alexandria.

Cell: 8.413 8.413 8.413 Å, 148.78 148.78 44.73°
Fractional coordinates of all 3 atoms:
Ba 0.000 0.000 0.000
Na 0.660 0.660 0.000
Sr 0.304 0.304 0.000

Results
Energy above the most stable polymorph in this dataset ... 0.0 meV/atom

***

no.,energy of formation from the pure elements (kJ per mole of atoms),V (Å³ per atom)
1,9,51.4
2,16,60.0
3,10,56.9
4,1,49.7
5,9,59.0
6,0,43.3
7,1,42.3
8,2,55.3
9,1,54.8
10,8,46.5
11,1,50.9
12,1,53.1